Density functional theory data (PBE-GGA) for a relaxed structure of InFeSi2.

Summary:
calculated volume = 191 Å³/cell
DOS at the Fermi energy = 7.74 states/eV per cell
total magnetic moment = 0.10 μB/atom
formation energy without anion corrections = 0.20 eV per atom

The structure in extended XYZ format:
```
12
Lattice="3.019 0.000 0.000 -1.509 2.614 0.000 0.000 0.000 24.190" Properties=species:S:1:pos:R:3 pbc="T T T"
In 0.000 0.000 0.000
In 0.000 1.743 16.126
In 1.509 0.871 8.063
Fe 0.000 0.000 12.095
Fe 0.000 1.743 4.032
Fe 1.509 0.871 20.158
Si 0.000 0.000 5.595
Si 0.000 0.000 18.594
Si 0.000 1.743 10.531
Si 0.000 1.743 21.722
Si 1.509 0.871 2.468
Si 1.509 0.871 13.659
```